[1]
5
Lattice="-4.857 0.801 2.013 3.932 -2.792 3.573 2.105 2.915 3.919" Properties=species:S:1:pos:R:3 comment="CaP2Pb2 GGA-PBEsol optimized geometry" n_ef_per_ev_cell=2.474 energy_ev_per_atom=-4.38 formation_energy_ev_per_fu=-0.187 pbc="T T T"
Pb -1.231 0.620 3.809
Pb 2.411 0.304 5.696
P -0.098 1.391 6.236
P 1.278 -0.467 3.270
Ca 0.000 0.000 0.000



[2]
5
Lattice="-1.011 -5.311 -0.228 5.077 -1.034 1.561 -1.576 0.078 5.176" Properties=species:S:1:pos:R:3 comment="CaPPb3 GGA-PBEsol optimized geometry" n_ef_per_ev_cell=4.298 energy_ev_per_atom=-3.81 formation_energy_ev_per_fu=0.892 pbc="T T T"
Pb 2.539 -0.517 0.781
Pb -0.788 0.039 2.588
Pb -0.506 -2.656 -0.114
P 0.000 0.000 0.000
Ca 1.245 -3.133 3.255